(1)
# LiCd2Co2

Crystalline LiCd2Co2 at its relaxed geometry (PBE, Alexandria via LeMat-Bulk).

Results
**Distance to the lowest polymorph of the same formula**: 1.032 eV per formula unit

Cell and atoms, written as CIF:
```
data_LiCd2Co2
_space_group_name_H-M_alt 'I 4/m m m'
_space_group_IT_number 139
_space_group_name_Hall '-I 4 2'
_cell_length_a 4.927
_cell_length_b 4.927
_cell_length_c 7.564
_cell_angle_alpha 90.00
_cell_angle_beta 90.00
_cell_angle_gamma 90.00
loop_
_atom_site_label
_atom_site_type_symbol
_atom_site_fract_x
_atom_site_fract_y
_atom_site_fract_z
Li1 Li 0.000 0.000 0.000
Cd1 Cd 0.000 0.500 0.250
Co1 Co 0.000 0.000 0.361
```

***

(2)
# BeTlCl3

Crystalline BeTlCl3 at its relaxed geometry (PBE, Alexandria via LeMat-Bulk).

Results
**Distance to the lowest polymorph of the same formula**: 1.697 eV per formula unit
**Uncorrected formation energy**: -0.955 eV per atom

Cell and atoms, written as CIF:
```
data_BeTlCl3
_space_group_name_H-M_alt 'P m -3 m'
_space_group_IT_number 221
_space_group_name_Hall '-P 4 2 3'
_cell_length_a 4.705
_cell_length_b 4.705
_cell_length_c 4.705
_cell_angle_alpha 90.00
_cell_angle_beta 90.00
_cell_angle_gamma 90.00
loop_
_atom_site_label
_atom_site_type_symbol
_atom_site_fract_x
_atom_site_fract_y
_atom_site_fract_z
Be1 Be 0.000 0.000 0.000
Tl1 Tl 0.500 0.500 0.500
Cl1 Cl 0.000 0.000 0.500
```

***

(3)
# Zr3VN

Crystalline Zr3VN at its relaxed geometry (PBE, Alexandria via LeMat-Bulk).

Results
**Distance to the lowest polymorph of the same formula**: 10.363 eV per formula unit
**Uncorrected formation energy**: 1.518 eV per atom

Cell and atoms, written as CIF:
```
data_Zr3VN
_space_group_name_H-M_alt 'P m -3 m'
_space_group_IT_number 221
_space_group_name_Hall '-P 4 2 3'
_cell_length_a 4.795
_cell_length_b 4.795
_cell_length_c 4.795
_cell_angle_alpha 90.00
_cell_angle_beta 90.00
_cell_angle_gamma 90.00
loop_
_atom_site_label
_atom_site_type_symbol
_atom_site_fract_x
_atom_site_fract_y
_atom_site_fract_z
Zr1 Zr 0.000 0.000 0.500
V1 V 0.000 0.000 0.000
N1 N 0.500 0.500 0.500
```

***

(4)
# CaCeGe2

Crystalline CaCeGe2 at its relaxed geometry (PBE, Alexandria via LeMat-Bulk).

Results
**Uncorrected energy**: -4.859 eV/atom

Cell and atoms, written as CIF:
```
data_CaCeGe2
_space_group_name_H-M_alt 'P 4/m m m'
_space_group_IT_number 123
_space_group_name_Hall '-P 4 2'
_cell_length_a 4.823
_cell_length_b 4.823
_cell_length_c 4.065
_cell_angle_alpha 90.00
_cell_angle_beta 90.00
_cell_angle_gamma 90.00
loop_
_atom_site_label
_atom_site_type_symbol
_atom_site_fract_x
_atom_site_fract_y
_atom_site_fract_z
Ca1 Ca 0.000 0.000 0.000
Ce1 Ce 0.500 0.500 0.000
Ge1 Ge 0.000 0.500 0.500
```

***

(5)
# Ba4Hg2As

Crystalline Ba4Hg2As at its relaxed geometry (PBE, Alexandria via LeMat-Bulk).

Results
**Uncorrected energy**: -2.352 eV/atom

Cell and atoms, written as CIF:
```
data_Ba4Hg2As
_space_group_name_H-M_alt 'I 4/m m m'
_space_group_IT_number 139
_space_group_name_Hall '-I 4 2'
_cell_length_a 6.435
_cell_length_b 6.435
_cell_length_c 16.626
_cell_angle_alpha 90.00
_cell_angle_beta 90.00
_cell_angle_gamma 90.00
loop_
_atom_site_label
_atom_site_type_symbol
_atom_site_fract_x
_atom_site_fract_y
_atom_site_fract_z
Ba1 Ba 0.000 0.000 0.191
Ba2 Ba 0.000 0.500 0.000
Hg1 Hg 0.000 0.000 0.400
As1 As 0.000 0.000 0.000
```

***

(6)
# Li5Lu3F12

Crystalline Li5Lu3F12 at its relaxed geometry (PBE, Alexandria via LeMat-Bulk).

Results
**Uncorrected formation energy**: -3.231 eV per atom

Cell and atoms, written as CIF:
```
data_Li5Lu3F12
_space_group_name_H-M_alt 'I a -3 d'
_space_group_IT_number 230
_space_group_name_Hall '-I 4bd 2c 3'
_cell_length_a 12.277
_cell_length_b 12.277
_cell_length_c 12.277
_cell_angle_alpha 90.00
_cell_angle_beta 90.00
_cell_angle_gamma 90.00
loop_
_atom_site_label
_atom_site_type_symbol
_atom_site_fract_x
_atom_site_fract_y
_atom_site_fract_z
Li1 Li 0.000 0.000 0.000
Li2 Li 0.000 0.250 0.375
Lu1 Lu 0.000 0.250 0.125
F1 F 0.026 0.062 0.655
```

***

(7)
# Fe2NiAs

Crystalline Fe2NiAs at its relaxed geometry (PBE, Alexandria via LeMat-Bulk).

Results
**Uncorrected energy**: -6.799 eV/atom

Cell and atoms, written as CIF:
```
data_Fe2NiAs
_space_group_name_H-M_alt 'P 1 2/m 1'
_space_group_IT_number 10
_cell_length_a 2.673
_cell_length_b 3.781
_cell_length_c 4.948
_cell_angle_alpha 90.00
_cell_angle_beta 95.33
_cell_angle_gamma 90.00
loop_
_space_group_symop_operation_xyz
'x,y,z'
'-x,-y,-z'
'-x,y,-z'
'x,-y,z'
loop_
_atom_site_label
_atom_site_type_symbol
_atom_site_fract_x
_atom_site_fract_y
_atom_site_fract_z
Fe1 Fe 0.035 0.000 0.245
Ni1 Ni 0.500 0.500 0.000
As1 As 0.500 0.500 0.500
```

***

(8)
# Pm2BiPbO6

Crystalline Pm2BiPbO6 at its relaxed geometry (PBE, Alexandria via LeMat-Bulk).

Results
**Uncorrected formation energy**: -2.175 eV per atom

Cell and atoms, written as CIF:
```
data_Pm2BiPbO6
_space_group_name_H-M_alt 'R 3'
_space_group_IT_number 146
_space_group_name_Hall 'R 3'
_cell_length_a 6.0827
_cell_length_b 6.0827
_cell_length_c 15.7331
_cell_angle_alpha 90.00
_cell_angle_beta 90.00
_cell_angle_gamma 120.00
loop_
_atom_site_label
_atom_site_type_symbol
_atom_site_fract_x
_atom_site_fract_y
_atom_site_fract_z
Pm1 Pm 0.0000 0.0000 0.0000
Pm2 Pm 0.0000 0.0000 0.4968
Bi1 Bi 0.0000 0.0000 0.7139
Pb1 Pb 0.0000 0.0000 0.2166
O1 O 0.0064 0.2931 0.1068
O2 O 0.0075 0.7190 0.6089
```

***

(9)
# MgMo2Se

Crystalline MgMo2Se at its relaxed geometry (PBE, Alexandria via LeMat-Bulk).

Results
**Distance to the lowest polymorph of the same formula**: 1.308 eV per formula unit
**Uncorrected formation energy**: 0.354 eV per atom

Cell and atoms, written as CIF:
```
data_MgMo2Se
_space_group_name_H-M_alt 'P 4/m m m'
_space_group_IT_number 123
_space_group_name_Hall '-P 4 2'
_cell_length_a 3.097
_cell_length_b 3.097
_cell_length_c 7.093
_cell_angle_alpha 90.00
_cell_angle_beta 90.00
_cell_angle_gamma 90.00
loop_
_atom_site_label
_atom_site_type_symbol
_atom_site_fract_x
_atom_site_fract_y
_atom_site_fract_z
Mg1 Mg 0.000 0.000 0.000
Mo1 Mo 0.500 0.500 0.295
Se1 Se 0.000 0.000 0.500
```